Below is crystalline PmPr2PuSb4 at its relaxed geometry, with properties calculated at the PBE level.

Calculated values
Formation energy from raw total energies: -1.03 eV/atom
DFT total energy: -53.40 eV per cell
Calculated density: 7.4 Mg/m³
Space-group type: P2/m

extended XYZ file:
```
8
Lattice="7.806 0.000 0.000 0.000 4.514 0.000 -2.600 0.000 7.361" Properties=species:S:1:pos:R:3 pbc="T T T"
Pm 0.000 0.000 0.000
Pr -1.300 2.257 3.681
Pr 2.603 0.000 3.681
Pu 3.903 2.257 0.000
Sb 1.323 2.257 1.796
Sb 0.024 0.000 5.582
Sb 5.182 0.000 1.779
Sb 3.883 2.257 5.565
```